No. 1
TcNiMoW | PBE | relaxed

Unit cell a=4.3542 b=4.3542 c=4.3542 alpha=60.00 beta=60.00 gamma=60.00
Fractional positions:
Tc  0.7500  0.7500  0.7500
W  0.5000  0.5000  0.5000
Ni  0.0000  0.0000  0.0000
Mo  0.2500  0.2500  0.2500

Values from the calculation:
- VASP energy (eV per cell) = -39.18
- density (g cm⁻³) = 12.42
- magnetic moment (Bohr magnetons per cell) = 0.00


No. 2
NiTe2Mo | PBE | relaxed

Unit cell a=6.0066 b=6.0066 c=7.1955 alpha=65.33 beta=65.33 gamma=90.00
Each line ends with the local moment (μB).
Fractional positions:
Te  0.1477  0.6250  0.2500  -0.04
Te  0.6023  0.1250  0.2500  -0.04
Ni  0.2500  0.7500  0.5000  -0.13
Mo  0.7500  0.2500  0.5000  1.42
Ni  0.5000  0.5000  0.0000  -0.14
Te  0.8750  0.8523  0.7500  -0.04
Te  0.3750  0.3977  0.7500  -0.04
Mo  0.0000  0.0000  0.0000  1.44

Values from the calculation:
- raw formation energy (meV per atom) = 321
- density (g cm⁻³) = 6.50
- magnetic moment (Bohr magnetons per cell) = 2.94


No. 3
NiTe2Mo | PBE | relaxed

Unit cell a=7.7018 b=7.7018 c=7.7018 alpha=25.88 beta=25.88 gamma=25.88
Fractional positions:
Te  0.4954  0.4954  0.4954
Mo  0.2500  0.2500  0.2500
Ni  0.7500  0.7500  0.7500
Te  0.0046  0.0046  0.0046

Values from the calculation:
- raw formation energy (meV per atom) = 157
- density (g cm⁻³) = 8.88
- magnetic moment (Bohr magnetons per cell) = 0.00


No. 4
NiTeMo | PBE | relaxed

Unit cell a=4.2894 b=4.2894 c=4.2894 alpha=60.00 beta=60.00 gamma=60.00
Fractional positions:
Mo  0.0000  0.0000  0.0000
Ni  0.5000  0.5000  0.5000
Te  0.7500  0.7500  0.7500

Values from the calculation:
- raw formation energy (meV per atom) = 487
- density (g cm⁻³) = 8.40
- magnetic moment (Bohr magnetons per cell) = 0.00


No. 5
NiTeMo2 | PBE | relaxed

Unit cell a=3.3227 b=3.3227 c=5.8849 alpha=90.00 beta=90.00 gamma=90.00
Fractional positions:
Ni  0.0000  0.0000  0.4807
Te  0.5000  0.5000  0.7333
Mo  0.5000  0.5000  0.2620
Mo  0.0000  0.0000  0.0240

Values from the calculation:
- raw formation energy (meV per atom) = 214
- density (g cm⁻³) = 9.67
- magnetic moment (Bohr magnetons per cell) = 0.00


No. 6
NiTeMo2 | PBE | relaxed

Unit cell a=5.5079 b=5.5079 c=7.1867 alpha=67.47 beta=67.47 gamma=90.00
Each line ends with the local moment (μB).
Fractional positions:
Ni  0.5000  0.5000  0.0000  -0.02
Te  0.7500  0.2500  0.5000  -0.02
Mo  0.3750  0.4403  0.7500  0.49
Ni  0.2500  0.7500  0.5000  -0.02
Mo  0.1903  0.6250  0.2500  0.44
Mo  0.8750  0.8097  0.7500  0.48
Mo  0.5597  0.1250  0.2500  0.44
Te  0.0000  0.0000  0.0000  -0.02

Values from the calculation:
- raw formation energy (meV per atom) = 1100
- density (g cm⁻³) = 6.85
- magnetic moment (Bohr magnetons per cell) = 2.02